# 1
K2PPb | PBE-GGA | optimized geometry

As for the total magnetization: 0.0 μB/cell. The calculation puts the density at 2.69 Mg/m³. The value obtained for the relative energy among the computed polymorphs is 245 meV per atom. As for the calculated total energy: -45.1 eV per cell.

The space group is I-42d (No. 122) and the conventional cell measures 12.018, 12.018 and 5.400 Å, with angles of 90.00, 90.00 and 90.00 degrees. The inequivalent atoms are K at (0.078, 0.250, 0.125), P at (0.000, 0.000, 0.000) and Pb at (0.000, 0.000, 0.500).


# 2
Ba2LiZnPt2 | PBE-GGA | optimized geometry

As for the total magnetization: 0.0 μB/cell. The calculation puts the density at 7.98 Mg/m³. As for the calculated total energy: -91.1 eV per cell.

The space group is Ibam (No. 72) and the conventional cell measures 6.301, 14.897 and 6.538 Å, with angles of 90.00, 90.00 and 90.00 degrees. The inequivalent atoms are Ba at (0.246, 0.165, 0.000), Li at (0.000, 0.000, 0.250), Zn at (0.000, 0.500, 0.250) and Pt at (0.240, 0.402, 0.000).


# 3
ZnSbSe | PBE-GGA | optimized geometry

As for the total magnetization: 0.0 μB/cell. The calculation puts the density at 6.02 Mg/m³. The value obtained for the uncorrected formation energy is 207 meV per atom. As for the calculated total energy: -33.0 eV per cell.

The space group is F-43m (No. 216) and the conventional cell measures 6.648, 6.648 and 6.648 Å, with angles of 90.00, 90.00 and 90.00 degrees. The inequivalent atoms are Zn at (0.000, 0.000, 0.000), Sb at (0.250, 0.250, 0.250) and Se at (0.250, 0.250, 0.750).


# 4
TeAu3 | PBE-GGA | optimized geometry

As for the total magnetization: 0.0 μB/cell. The calculation puts the density at 14.16 Mg/m³. The value obtained for the uncorrected formation energy is 200 meV per atom. As for the calculated total energy: -12.2 eV per cell.

The space group is P4/mmm (No. 123) and the conventional cell measures 3.010, 3.010 and 9.296 Å, with angles of 90.00, 90.00 and 90.00 degrees. The inequivalent atoms are Te at (0.000, 0.000, 0.000), Au at (0.000, 0.000, 0.500) and Au at (0.500, 0.500, 0.280).


# 5
PmNdSm2Tm2 | PBE-GGA | optimized geometry

As for the total magnetization: 0.0 μB/cell. The calculation puts the density at 7.65 Mg/m³. As for the calculated total energy: -52.6 eV per cell.

The space group is Pnnm (No. 58) and the conventional cell measures 6.706, 17.689 and 3.397 Å, with angles of 90.00, 90.00 and 90.00 degrees. The inequivalent atoms are Pm at (0.000, 0.000, 0.000), Nd at (0.000, 0.500, 0.000), Sm at (0.232, 0.154, 0.500) and Tm at (0.235, 0.323, 0.000).


# 6
GdHF | PBE-GGA | optimized geometry

As for the total magnetization: 6.8 μB/cell. The calculation puts the density at 6.15 Mg/m³. The value obtained for the relative energy among the computed polymorphs is 312 meV per atom. As for the calculated total energy: -24.7 eV per cell.

The space group is P3m1 (No. 156) and the conventional cell measures 3.9311, 3.9311 and 3.5749 Å, with angles of 90.00, 90.00 and 120.00 degrees. The inequivalent atoms are Gd at (0.0000, 0.0000, 0.0000), H at (0.6667, 0.3333, 0.7825) and F at (0.3333, 0.6667, 0.1526).


# 7
InSn3Pb6 | PBE-GGA | optimized geometry

As for the total magnetization: 0.0 μB/cell. The calculation puts the density at 9.42 Mg/m³. The value obtained for the relative energy among the computed polymorphs is 14 meV per atom. As for the calculated total energy: -73.1 eV per cell.

The space group is P2_1/m (No. 11) and the conventional cell measures 13.181, 3.458 and 13.260 Å, with angles of 90.00, 90.16 and 90.00 degrees. The inequivalent atoms are In at (0.047, 0.250, 0.103), Sn at (0.261, 0.250, 0.511), Sn at (0.350, 0.750, 0.710), Sn at (0.443, 0.250, 0.908), Pb at (0.057, 0.750, 0.596), Pb at (0.150, 0.250, 0.798), Pb at (0.157, 0.750, 0.309), Pb at (0.242, 0.750, 0.002), Pb at (0.359, 0.250, 0.193) and Pb at (0.453, 0.750, 0.396).


# 8
KSrZr2 | PBE-GGA | optimized geometry

As for the total magnetization: 10.2 μB/cell. The calculation puts the density at 3.96 Mg/m³. The value obtained for the relative energy among the computed polymorphs is 521 meV per atom. As for the calculated total energy: -64.7 eV per cell.

The space group is F-43m (No. 216) and the conventional cell measures 8.031, 8.031 and 8.031 Å, with angles of 90.00, 90.00 and 90.00 degrees. The inequivalent atoms are K at (0.000, 0.000, 0.000), Sr at (0.250, 0.250, 0.250), Zr at (0.000, 0.000, 0.500) and Zr at (0.250, 0.250, 0.750).


# 9
Ac4PuSe5 | PBE-GGA | optimized geometry

As for the total magnetization: 18.0 μB/cell. The calculation puts the density at 8.49 Mg/m³. The value obtained for the relative energy among the computed polymorphs is 0 meV per atom. The value obtained for the uncorrected formation energy is -1797 meV per atom. As for the calculated total energy: -198.5 eV per cell.

The space group is R-3m (No. 166, hexagonal axes) and the conventional cell measures 4.4140, 4.4140 and 53.7745 Å, with angles of 90.00, 90.00 and 120.00 degrees. The inequivalent atoms are Ac at (0.0000, 0.0000, 0.1034), Ac at (0.0000, 0.0000, 0.2993), Pu at (0.0000, 0.0000, 0.5000), Se at (0.0000, 0.0000, 0.0000), Se at (0.0000, 0.0000, 0.1956) and Se at (0.0000, 0.0000, 0.4021).


# 10
SrOsBrO4 | PBE-GGA | optimized geometry

As for the total magnetization: 4.1 μB/cell. The calculation puts the density at 4.52 Mg/m³. The value obtained for the uncorrected formation energy is -1501 meV per atom. As for the calculated total energy: -179.7 eV per cell.

The space group is C2/m (No. 12) and the conventional cell measures 10.935, 7.866 and 7.493 Å, with angles of 90.00, 105.78 and 90.00 degrees. The inequivalent atoms are Sr at (0.217, 0.000, 0.134), Os at (0.132, 0.500, 0.262), Br at (0.027, 0.000, 0.755), O at (0.035, 0.500, 0.793), O at (0.183, 0.322, 0.156) and O at (0.195, 0.500, 0.504).


# 11
Y2ZrSbIr | PBE-GGA | optimized geometry

As for the total magnetization: 0.0 μB/cell. The calculation puts the density at 6.59 Mg/m³. The value obtained for the uncorrected formation energy is 522 meV per atom. As for the calculated total energy: -31.8 eV per cell.

The space group is P4/mmm (No. 123) and the conventional cell measures 5.541, 5.541 and 4.785 Å, with angles of 90.00, 90.00 and 90.00 degrees. The inequivalent atoms are Y at (0.000, 0.500, 0.000), Zr at (0.000, 0.000, 0.000), Sb at (0.500, 0.500, 0.500) and Ir at (0.000, 0.000, 0.500).


# 12
Eu2HoPd | PBE-GGA | optimized geometry

As for the total magnetization: 15.1 μB/cell. The calculation puts the density at 7.96 Mg/m³. The value obtained for the relative energy among the computed polymorphs is 0 meV per atom. As for the calculated total energy: -31.3 eV per cell.

The space group is P4/mmm (No. 123) and the conventional cell measures 3.666, 3.666 and 8.933 Å, with angles of 90.00, 90.00 and 90.00 degrees. The inequivalent atoms are Eu at (0.000, 0.000, 0.195), Ho at (0.500, 0.500, 0.500) and Pd at (0.500, 0.500, 0.000).


# 13
Y2SnB | PBE-GGA | optimized geometry

As for the total magnetization: 0.0 μB/cell. The calculation puts the density at 5.61 Mg/m³. The value obtained for the relative energy among the computed polymorphs is 114 meV per atom. As for the calculated total energy: -93.0 eV per cell.

The space group is Fm-3m (No. 225) and the conventional cell measures 7.138, 7.138 and 7.138 Å, with angles of 90.00, 90.00 and 90.00 degrees. The inequivalent atoms are Y at (0.250, 0.250, 0.250), Sn at (0.000, 0.000, 0.000) and B at (0.000, 0.000, 0.500).


# 14
Y6Ho2Th3 | PBE-GGA | optimized geometry

As for the total magnetization: 0.0 μB/cell. The calculation puts the density at 7.02 Mg/m³. As for the calculated total energy: -136.5 eV per cell.

The space group is C2/m (No. 12) and the conventional cell measures 5.997, 11.121 and 11.136 Å, with angles of 90.00, 96.90 and 90.00 degrees. The inequivalent atoms are Y at (0.090, 0.159, 0.231), Y at (0.101, 0.500, 0.266), Ho at (0.000, 0.353, 0.000), Th at (0.000, 0.000, 0.500) and Th at (0.000, 0.325, 0.500).


# 15
Zr2HgBr | PBE-GGA | optimized geometry

As for the total magnetization: 0.0 μB/cell. The calculation puts the density at 7.78 Mg/m³. The value obtained for the relative energy among the computed polymorphs is 525 meV per atom. The value obtained for the uncorrected formation energy is 135 meV per atom. As for the calculated total energy: -74.1 eV per cell.

The space group is I-42d (No. 122) and the conventional cell measures 4.404, 4.404 and 20.379 Å, with angles of 90.00, 90.00 and 90.00 degrees. The inequivalent atoms are Zr at (0.250, 0.250, 0.125), Hg at (0.000, 0.000, 0.000) and Br at (0.000, 0.000, 0.500).


# 16
Tb2PmPr2Ho2 | PBE-GGA | optimized geometry

As for the total magnetization: 0.0 μB/cell. The calculation puts the density at 7.48 Mg/m³. As for the calculated total energy: -63.4 eV per cell.

The space group is C2/m (No. 12) and the conventional cell measures 17.881, 3.516 and 8.502 Å, with angles of 90.00, 116.78 and 90.00 degrees. The inequivalent atoms are Tb at (0.211, 0.000, 0.299), Pm at (0.000, 0.000, 0.000), Pr at (0.147, 0.500, 0.883) and Ho at (0.071, 0.500, 0.406).


# 17
Ac4AlHg | PBE-GGA | optimized geometry

As for the total magnetization: 0.0 μB/cell. The calculation puts the density at 7.88 Mg/m³. The value obtained for the relative energy among the computed polymorphs is 135 meV per atom. As for the calculated total energy: -21.0 eV per cell.

The space group is P4/mmm (No. 123) and the conventional cell measures 5.527, 5.527 and 7.836 Å, with angles of 90.00, 90.00 and 90.00 degrees. The inequivalent atoms are Ac at (0.000, 0.500, 0.245), Al at (0.000, 0.000, 0.000) and Hg at (0.500, 0.500, 0.500).


# 18
MgAl2Tl | PBE-GGA | optimized geometry

As for the total magnetization: 0.0 μB/cell. The calculation puts the density at 5.40 Mg/m³. As for the calculated total energy: -11.0 eV per cell.

The space group is P4mm (No. 99) and the conventional cell measures 3.340, 3.340 and 7.786 Å, with angles of 90.00, 90.00 and 90.00 degrees. The inequivalent atoms are Mg at (0.000, 0.000, 0.000), Al at (0.000, 0.000, 0.574), Al at (0.500, 0.500, 0.766) and Tl at (0.500, 0.500, 0.292).


# 19
CeY3Er5 | PBE-GGA | optimized geometry

As for the total magnetization: 4.5 μB/cell. The calculation puts the density at 7.33 Mg/m³. As for the calculated total energy: -181.9 eV per cell.

The space group is I4/mcm (No. 140) and the conventional cell measures 8.584, 8.584 and 15.288 Å, with angles of 90.00, 90.00 and 90.00 degrees. The inequivalent atoms are Ce at (0.000, 0.500, 0.250), Y at (0.000, 0.000, 0.250), Y at (0.122, 0.378, 0.000), Er at (0.000, 0.000, 0.000) and Er at (0.198, 0.302, 0.360).


# 20
BePtW | PBE-GGA | optimized geometry

As for the total magnetization: 0.0 μB/cell. The calculation puts the density at 15.92 Mg/m³. The value obtained for the relative energy among the computed polymorphs is 158 meV per atom. As for the calculated total energy: -93.1 eV per cell.

The space group is Cmcm (No. 63) and the conventional cell measures 4.275, 7.387 and 5.124 Å, with angles of 90.00, 90.00 and 90.00 degrees. The inequivalent atoms are Be at (0.000, 0.167, 0.250), Pt at (0.000, 0.166, 0.750) and W at (0.000, 0.500, 0.000).


# 21
Er3GaIr3 | PBE-GGA | optimized geometry

As for the total magnetization: 0.0 μB/cell. The calculation puts the density at 13.30 Mg/m³. As for the calculated total energy: -197.9 eV per cell.

The space group is Cmcm (No. 63) and the conventional cell measures 4.125, 10.181 and 13.650 Å, with angles of 90.00, 90.00 and 90.00 degrees. The inequivalent atoms are Er at (0.000, 0.018, 0.250), Er at (0.000, 0.298, 0.106), Ga at (0.000, 0.000, 0.000), Ir at (0.000, 0.263, 0.750) and Ir at (0.000, 0.412, 0.589).


# 22
Cs2Na4SnPb2 | PBE-GGA | optimized geometry

As for the total magnetization: 0.0 μB/cell. The calculation puts the density at 4.19 Mg/m³. As for the calculated total energy: -38.7 eV per cell.

The space group is C2/m (No. 12) and the conventional cell measures 11.955, 7.503 and 8.152 Å, with angles of 90.00, 104.88 and 90.00 degrees. The inequivalent atoms are Cs at (0.153, 0.000, 0.390), Na at (0.133, 0.262, 0.835), Sn at (0.000, 0.500, 0.500) and Pb at (0.110, 0.500, 0.166).


Number 1: DOS at the Fermi energy 3.24 states/eV/f.u.. Number 2: DOS at the Fermi energy 1.91 states/eV/f.u.. Number 3: DOS at the Fermi energy 2.68 states/eV/f.u.. Number 4: DOS at the Fermi energy 1.55 states/eV/f.u.. Number 5: DOS at the Fermi energy 9.42 states/eV/f.u.. Number 6: DOS at the Fermi energy 2.66 states/eV/f.u.. Number 7: DOS at the Fermi energy 5.32 states/eV/f.u.. Number 8: DOS at the Fermi energy 3.65 states/eV/f.u.. Number 9: DOS at the Fermi energy 10.24 states/eV/f.u.. Number 10: DOS at the Fermi energy 5.15 states/eV/f.u.. Number 11: DOS at the Fermi energy 4.10 states/eV/f.u.. Number 12: DOS at the Fermi energy 13.47 states/eV/f.u.. Number 13: DOS at the Fermi energy 2.12 states/eV/f.u.. Number 14: DOS at the Fermi energy 17.85 states/eV/f.u.. Number 15: DOS at the Fermi energy 2.58 states/eV/f.u.. Number 16: DOS at the Fermi energy 12.05 states/eV/f.u.. Number 17: DOS at the Fermi energy 7.59 states/eV/f.u.. Number 18: DOS at the Fermi energy 1.48 states/eV/f.u.. Number 19: DOS at the Fermi energy 14.98 states/eV/f.u.. Number 20: DOS at the Fermi energy 2.27 states/eV/f.u.. Number 21: DOS at the Fermi energy 3.77 states/eV/f.u.. Number 22: DOS at the Fermi energy 6.44 states/eV/f.u..